Arrangement w

Below is Li2LaNiH after structural relaxation, with properties calculated at the PBE-GGA level.

Structure (CIF):
```
data_Li2LaNiH
_cell_length_a 6.464
_cell_length_b 6.464
_cell_length_c 4.685
_cell_angle_alpha 90.00
_cell_angle_beta 90.00
_cell_angle_gamma 90.00
_space_group_name_H-M_alt 'P 4/m m m'
_space_group_IT_number 123
_space_group_name_Hall '-P 4 2'
loop_
_atom_site_label
_atom_site_type_symbol
_atom_site_fract_x
_atom_site_fract_y
_atom_site_fract_z
Li1 Li 0.000 0.500 0.000
La1 La 0.000 0.000 0.000
Ni1 Ni 0.000 0.000 0.500
H1 H 0.500 0.500 0.500
```

***

Arrangement x

Below is Li2LaNiH after structural relaxation, with properties calculated at the PBE-GGA level.

Structure (CIF):
```
data_Li2LaNiH
_cell_length_a 3.907
_cell_length_b 3.907
_cell_length_c 5.189
_cell_angle_alpha 90.00
_cell_angle_beta 90.00
_cell_angle_gamma 90.00
_space_group_name_H-M_alt 'P 4/m m m'
_space_group_IT_number 123
_space_group_name_Hall '-P 4 2'
loop_
_atom_site_label
_atom_site_type_symbol
_atom_site_fract_x
_atom_site_fract_y
_atom_site_fract_z
Li1 Li 0.000 0.500 0.000
La1 La 0.000 0.000 0.500
Ni1 Ni 0.500 0.500 0.500
H1 H 0.000 0.000 0.000
```

***

Of them, arrangement w has the lowest stability.

***

Arrangement w

Below is LiLa2NiH after structural relaxation, with properties calculated at the PBE-GGA level.

Structure (CIF):
```
data_LiLa2NiH
_cell_length_a 5.217
_cell_length_b 5.217
_cell_length_c 3.693
_cell_angle_alpha 90.00
_cell_angle_beta 90.00
_cell_angle_gamma 90.00
_space_group_name_H-M_alt 'P 4/m m m'
_space_group_IT_number 123
_space_group_name_Hall '-P 4 2'
loop_
_atom_site_label
_atom_site_type_symbol
_atom_site_fract_x
_atom_site_fract_y
_atom_site_fract_z
Li1 Li 0.000 0.000 0.000
La1 La 0.000 0.500 0.500
Ni1 Ni 0.500 0.500 0.000
H1 H 0.500 0.500 0.500
```

***

Arrangement x

Below is LiLa2NiH after structural relaxation, with properties calculated at the PBE-GGA level.

Structure (CIF):
```
data_LiLa2NiH
_cell_length_a 5.072
_cell_length_b 5.072
_cell_length_c 3.710
_cell_angle_alpha 90.00
_cell_angle_beta 90.00
_cell_angle_gamma 90.00
_space_group_name_H-M_alt 'P 4/m m m'
_space_group_IT_number 123
_space_group_name_Hall '-P 4 2'
loop_
_atom_site_label
_atom_site_type_symbol
_atom_site_fract_x
_atom_site_fract_y
_atom_site_fract_z
Li1 Li 0.000 0.000 0.000
La1 La 0.000 0.500 0.500
Ni1 Ni 0.500 0.500 0.000
H1 H 0.000 0.000 0.500
```

***

Of them, arrangement w has the lowest stability.

***

Arrangement w

Below is LiLa2HOs after structural relaxation, with properties calculated at the PBE-GGA level.

Structure (CIF):
```
data_LiLa2HOs
_cell_length_a 5.042
_cell_length_b 5.042
_cell_length_c 3.801
_cell_angle_alpha 90.00
_cell_angle_beta 90.00
_cell_angle_gamma 90.00
_space_group_name_H-M_alt 'P 4/m m m'
_space_group_IT_number 123
_space_group_name_Hall '-P 4 2'
loop_
_atom_site_label
_atom_site_type_symbol
_atom_site_fract_x
_atom_site_fract_y
_atom_site_fract_z
Li1 Li 0.000 0.000 0.000
La1 La 0.000 0.500 0.500
H1 H 0.000 0.000 0.500
Os1 Os 0.500 0.500 0.000
```

***

Arrangement x

Below is LiLa2HOs after structural relaxation, with properties calculated at the PBE-GGA level.

Structure (CIF):
```
data_LiLa2HOs
_cell_length_a 5.167
_cell_length_b 5.167
_cell_length_c 3.794
_cell_angle_alpha 90.00
_cell_angle_beta 90.00
_cell_angle_gamma 90.00
_space_group_name_H-M_alt 'P 4/m m m'
_space_group_IT_number 123
_space_group_name_Hall '-P 4 2'
loop_
_atom_site_label
_atom_site_type_symbol
_atom_site_fract_x
_atom_site_fract_y
_atom_site_fract_z
Li1 Li 0.000 0.000 0.000
La1 La 0.000 0.500 0.500
H1 H 0.500 0.500 0.500
Os1 Os 0.500 0.500 0.000
```

***

Of them, arrangement x has the lowest stability.

***

Arrangement w

Below is LiLa2HPb after structural relaxation, with properties calculated at the PBE-GGA level.

Structure (CIF):
```
data_LiLa2HPb
_cell_length_a 5.080
_cell_length_b 5.080
_cell_length_c 4.595
_cell_angle_alpha 90.00
_cell_angle_beta 90.00
_cell_angle_gamma 90.00
_space_group_name_H-M_alt 'P 4/m m m'
_space_group_IT_number 123
_space_group_name_Hall '-P 4 2'
loop_
_atom_site_label
_atom_site_type_symbol
_atom_site_fract_x
_atom_site_fract_y
_atom_site_fract_z
Li1 Li 0.000 0.000 0.000
La1 La 0.000 0.500 0.500
H1 H 0.000 0.000 0.500
Pb1 Pb 0.500 0.500 0.000
```

***

Arrangement x

Below is LiLa2HPb after structural relaxation, with properties calculated at the PBE-GGA level.

Structure (CIF):
```
data_LiLa2HPb
_cell_length_a 5.610
_cell_length_b 5.610
_cell_length_c 4.632
_cell_angle_alpha 90.00
_cell_angle_beta 90.00
_cell_angle_gamma 90.00
_space_group_name_H-M_alt 'P 4/m m m'
_space_group_IT_number 123
_space_group_name_Hall '-P 4 2'
loop_
_atom_site_label
_atom_site_type_symbol
_atom_site_fract_x
_atom_site_fract_y
_atom_site_fract_z
Li1 Li 0.000 0.000 0.000
La1 La 0.000 0.500 0.000
H1 H 0.500 0.500 0.500
Pb1 Pb 0.000 0.000 0.500
```

***

Of them, arrangement x has the lowest stability.